An optimized crystal structure of Sc2CrCu. Source: the Alexandria database, functional PBE-GGA.

The volume is 70.6 Å³/cell. As for the total magnetization: 2.87 μB per formula unit. As for the formation enthalpy at 0 K: 0.015 eV per atom.

Geometry as POSCAR:
```
Sc2CrCu
1.0
-1.324 2.095 -2.143
0.897 -1.958 -2.469
-5.743 -3.183 0.436
Sc Cu Cr
2 1 1
Cartesian
-5.735 -3.178 0.435
-2.880 -1.596 0.219
-4.521 -2.318 -1.979
-1.649 -0.727 -2.197
```